*A*
VASP calculation (PBE) on HgRhNF2 after structural relaxation.

Results
symmetry: No. 123
ρ: 6.766 Mg/m³
magnetization: 0.717 μB per atom

Cell and atoms, written as POSCAR:
```
HgRhNF2
1.0
4.589 0.000 0.000
0.000 4.589 0.000
0.000 0.000 4.144
Hg Rh N F
1 1 1 2
direct
0.000 0.000 0.000 Hg
0.500 0.500 0.500 Rh
0.000 0.000 0.500 N
0.000 0.500 0.000 F
0.500 0.000 0.000 F
```

***

*B*
VASP calculation (PBE) on HgRhNF2 after structural relaxation.

Results
symmetry: No. 123
ρ: 8.239 Mg/m³
magnetization: 0.000 μB per atom

Cell and atoms, written as POSCAR:
```
HgRhNF2
1.0
4.375 0.000 0.000
0.000 4.375 0.000
0.000 0.000 3.743
Hg Rh N F
1 1 1 2
direct
0.000 0.000 0.000 Hg
0.500 0.500 0.500 Rh
0.500 0.500 0.000 N
0.000 0.500 0.500 F
0.500 0.000 0.500 F
```

***

Stability, lowest: *A*

***

*A*
VASP calculation (PBE) on HgRuNF2 after structural relaxation.

Results
symmetry: No. 123
ρ: 6.778 Mg/m³
magnetization: 0.918 μB per atom

Cell and atoms, written as POSCAR:
```
HgRuNF2
1.0
4.589 0.000 0.000
0.000 4.589 0.000
0.000 0.000 4.114
Hg Ru N F
1 1 1 2
direct
0.000 0.000 0.000 Hg
0.500 0.500 0.500 Ru
0.000 0.000 0.500 N
0.000 0.500 0.000 F
0.500 0.000 0.000 F
```

***

*B*
VASP calculation (PBE) on HgRuNF2 after structural relaxation.

Results
symmetry: No. 123
ρ: 8.335 Mg/m³
magnetization: 0.000 μB per atom

Cell and atoms, written as POSCAR:
```
HgRuNF2
1.0
4.329 0.000 0.000
0.000 4.329 0.000
0.000 0.000 3.759
Hg Ru N F
1 1 1 2
direct
0.000 0.000 0.000 Hg
0.500 0.500 0.500 Ru
0.500 0.500 0.000 N
0.000 0.500 0.500 F
0.500 0.000 0.500 F
```

***

Stability, lowest: *A*

***

*A*
VASP calculation (PBE) on HgRuN2F after structural relaxation.

Results
symmetry: No. 123
ρ: 8.836 Mg/m³
magnetization: 0.000 μB per atom

Cell and atoms, written as POSCAR:
```
HgRuN2F
1.0
3.880 0.000 0.000
0.000 3.880 0.000
0.000 0.000 4.352
Hg Ru N F
1 1 2 1
direct
0.000 0.000 0.000 Hg
0.500 0.500 0.500 Ru
0.000 0.500 0.500 N
0.500 0.000 0.500 N
0.500 0.500 0.000 F
```

***

*B*
VASP calculation (PBE) on HgRuN2F after structural relaxation.

Results
symmetry: No. 123
ρ: 7.328 Mg/m³
magnetization: 1.100 μB per atom

Cell and atoms, written as POSCAR:
```
HgRuN2F
1.0
4.154 0.000 0.000
0.000 4.154 0.000
0.000 0.000 4.578
Hg Ru N F
1 1 2 1
direct
0.000 0.000 0.000 Hg
0.500 0.500 0.500 Ru
0.000 0.500 0.000 N
0.500 0.000 0.000 N
0.000 0.000 0.500 F
```

***

Stability, lowest: *B*